RbMnS3 | GGA-PBE | relaxed

CIF file:
```
data_RbMnS3
_chemical_formula_sum 'Rb4 Mn4 S12'
_space_group_name_H-M_alt 'P 1 21/c 1'
_space_group_IT_number 14
_cell_length_a 7.230
_cell_length_b 6.189
_cell_length_c 14.344
_cell_angle_alpha 90.00
_cell_angle_beta 120.20
_cell_angle_gamma 90.00
loop_
_space_group_symop_operation_xyz
'x,y,z'
'-x,-y,-z'
'-x,y+1/2,-z+1/2'
'x,-y+1/2,z+1/2'
loop_
_atom_site_label
_atom_site_fract_x
_atom_site_fract_y
_atom_site_fract_z
_atom_site_occupancy
Rb1 0.193 0.240 0.150 1
Mn1 0.454 0.749 0.025 1
S1 0.264 0.051 0.417 1
S2 0.291 0.744 0.111 1
S3 0.333 0.551 0.382 1
```

ΔE_f (raw): -0.630 eV per atom
Crystal system: monoclinic
Volume: 138.7 Å³/f.u.
Energy relative to the lowest polymorph listed for this composition: 0.0000 eV per atom



Rb2SmPuS4 | GGA-PBE | relaxed

CIF file:
```
data_Rb2SmPuS4
_chemical_formula_sum 'Rb2 Sm1 Pu1 S4'
_space_group_name_H-M_alt 'P 1 2/m 1'
_space_group_IT_number 10
_cell_length_a 7.223
_cell_length_b 4.165
_cell_length_c 8.041
_cell_angle_alpha 90.00
_cell_angle_beta 107.44
_cell_angle_gamma 90.00
loop_
_space_group_symop_operation_xyz
'x,y,z'
'-x,-y,-z'
'-x,y,-z'
'x,-y,z'
loop_
_atom_site_label
_atom_site_fract_x
_atom_site_fract_y
_atom_site_fract_z
_atom_site_occupancy
Rb1 0.000 0.000 0.000 1
Rb2 0.500 0.500 0.000 1
Sm1 0.000 0.500 0.500 1
Pu1 0.500 0.000 0.500 1
S1 0.233 0.000 0.695 1
S2 0.273 0.500 0.309 1
```

ΔE_f (raw): -1.685 eV per atom
Crystal system: monoclinic
Volume: 230.8 Å³/f.u.



Pm15Y4Er | GGA-PBE | relaxed

CIF file:
```
data_Pm15Y4Er
_chemical_formula_sum 'Pm15 Y4 Er1'
_space_group_name_H-M_alt 'P 4/m m m'
_space_group_IT_number 123
_space_group_name_Hall '-P 4 2'
_cell_length_a 5.135
_cell_length_b 5.135
_cell_length_c 25.593
_cell_angle_alpha 90.00
_cell_angle_beta 90.00
_cell_angle_gamma 90.00
loop_
_atom_site_label
_atom_site_fract_x
_atom_site_fract_y
_atom_site_fract_z
_atom_site_occupancy
Pm1 0.000 0.000 0.000 1
Pm2 0.000 0.000 0.199 1
Pm3 0.000 0.000 0.400 1
Pm4 0.000 0.500 0.099 1
Pm5 0.000 0.500 0.300 1
Pm6 0.000 0.500 0.500 1
Y1 0.500 0.500 0.199 1
Y2 0.500 0.500 0.400 1
Er1 0.500 0.500 0.000 1
```

Crystal system: tetragonal
Volume: 674.8 Å³/f.u.
ΔE_f: 23 kJ/mol of formula units



SrBe2Tc | GGA-PBE | relaxed

CIF file:
```
data_SrBe2Tc
_chemical_formula_sum 'Sr4 Be8 Tc4'
_space_group_name_H-M_alt 'I 41/a m d'
_space_group_IT_number 141
_cell_length_a 4.521
_cell_length_b 4.521
_cell_length_c 15.822
_cell_angle_alpha 90.00
_cell_angle_beta 90.00
_cell_angle_gamma 90.00
loop_
_space_group_symop_operation_xyz
'x,y,z'
'-x,-y,-z'
'-y+1/4,x+3/4,z+1/4'
'y+1/4,-x+3/4,-z+1/4'
'-x+1/2,-y,z+1/2'
'x+1/2,y,-z+1/2'
'y+1/4,-x+1/4,z+3/4'
'-y+1/4,x+1/4,-z+3/4'
'x,-y,-z'
'-x,y,z'
'-y+1/4,-x+1/4,-z+3/4'
'y+1/4,x+1/4,z+3/4'
'-x+1/2,y,-z+1/2'
'x+1/2,-y,z+1/2'
'y+1/4,x+3/4,-z+1/4'
'-y+1/4,-x+3/4,z+1/4'
'x+1/2,y+1/2,z+1/2'
'-x+1/2,-y+1/2,-z+1/2'
'-y+3/4,x+1/4,z+3/4'
'y+3/4,-x+1/4,-z+3/4'
'-x,-y+1/2,z'
'x,y+1/2,-z'
'y+3/4,-x+3/4,z+1/4'
'-y+3/4,x+3/4,-z+1/4'
'x+1/2,-y+1/2,-z+1/2'
'-x+1/2,y+1/2,z+1/2'
'-y+3/4,-x+3/4,-z+1/4'
'y+3/4,x+3/4,z+1/4'
'-x,y+1/2,-z'
'x,-y+1/2,z'
'y+3/4,x+1/4,-z+3/4'
'-y+3/4,-x+1/4,z+3/4'
loop_
_atom_site_label
_atom_site_fract_x
_atom_site_fract_y
_atom_site_fract_z
_atom_site_occupancy
Sr1 0.000 0.250 0.375 1
Be1 0.000 0.000 0.000 1
Tc1 0.000 0.250 0.875 1
```

Crystal system: tetragonal
Volume: 80.9 Å³/f.u.
ΔE_f: 251 kJ/mol of formula units
Energy relative to the lowest polymorph listed for this composition: 0.4567 eV per atom



InHgC2 | GGA-PBE | relaxed

CIF file:
```
data_InHgC2
_chemical_formula_sum 'In4 Hg4 C8'
_space_group_name_H-M_alt 'I -4 2 d'
_space_group_IT_number 122
_space_group_name_Hall 'I -4 2bw'
_cell_length_a 5.058
_cell_length_b 5.058
_cell_length_c 10.891
_cell_angle_alpha 90.00
_cell_angle_beta 90.00
_cell_angle_gamma 90.00
loop_
_atom_site_label
_atom_site_fract_x
_atom_site_fract_y
_atom_site_fract_z
_atom_site_occupancy
In1 0.000 0.000 0.000 1
Hg1 0.000 0.000 0.500 1
C1 0.249 0.250 0.625 1
```

Crystal system: tetragonal
Volume: 69.7 Å³/f.u.
ΔE_f: 719 kJ/mol of formula units
Energy relative to the lowest polymorph listed for this composition: 0.0000 eV per atom



Ba2Br2N | GGA-PBE | relaxed

CIF file:
```
data_Ba2Br2N
_chemical_formula_sum 'Ba4 Br4 N2'
_space_group_name_H-M_alt 'P 4/m b m'
_space_group_IT_number 127
_space_group_name_Hall '-P 4 2ab'
_cell_length_a 8.774
_cell_length_b 8.774
_cell_length_c 4.136
_cell_angle_alpha 90.00
_cell_angle_beta 90.00
_cell_angle_gamma 90.00
loop_
_atom_site_label
_atom_site_fract_x
_atom_site_fract_y
_atom_site_fract_z
_atom_site_occupancy
Ba1 0.178 0.322 0.000 1
Br1 0.129 0.629 0.500 1
N1 0.000 0.000 0.500 1
```

ΔE_f (raw): -0.551 eV per atom
Crystal system: tetragonal
Volume: 159.2 Å³/f.u.



Record order is preserved below.
E_tot: -5.13; -6.37; -5.07; -4.23; -3.51; -3.65 eV per atom